A geometry-optimized Ag2BiPbSe4 structure. Source: Alexandria via LeMat-Bulk, functional GGA-PBE.

Values from the calculation:
Formation energy (no corrections) in eV/atom: -0.2602
Raw total energy in eV/atom: -3.664
Spin magnetization in μB/cell: 0.00

a b c (Å): 8.265 8.265 8.282
angles (deg): 120.04 120.04 89.87
Sites, in units of the cell vectors:
Ag 0.500 0.000 0.000
Ag 0.500 0.000 0.500
Ag 0.000 0.000 0.500
Ag 0.500 0.500 0.000
Bi 0.000 0.500 0.000
Bi 0.000 0.500 0.500
Pb 0.500 0.500 0.500
Pb 0.000 0.000 0.000
Se 0.266 0.750 0.007
Se 0.750 0.234 0.493
Se 0.250 0.766 0.507
Se 0.734 0.250 0.993
Se 0.745 0.754 0.015
Se 0.746 0.755 0.485
Se 0.254 0.245 0.515
Se 0.255 0.246 0.985